No. 1
Computed, not measured: FeCo2Si after structural relaxation at the PBEsol level of DFT.

Uncorrected formation energy   -1.07 eV/f.u.
Calculated density   8.07 Mg/m³
Raw total energy   -7.815 eV/atom
Space-group type   No. 99

Cell and atoms, written as POSCAR:
```
FeCo2Si
1.0
-1.7293 -1.9649 -0.5839
-0.0211 -0.7468 2.5757
-4.4102 3.5834 1.0027
Co Fe Si
2 1 1
Cartesian
-4.3446 3.5301 0.9878
-1.9897 -0.4503 1.2493
-2.2517 1.8296 0.5120
-4.1899 1.3374 1.7496
```

=====

No. 2
Computed, not measured: BeTePd3 after structural relaxation at the PBEsol level of DFT.

Uncorrected formation energy   4.27 eV/f.u.
Calculated density   6.71 Mg/m³
Raw total energy   -4.227 eV/atom
Space-group type   No. 221

Cell and atoms, written as POSCAR:
```
BeTePd3
1.0
4.8326 0.0000 0.0000
0.0000 4.8326 0.0000
0.0000 0.0000 4.8326
Be Te Pd
1 1 3
Cartesian
2.4163 2.4163 2.4163
0.0000 0.0000 0.0000
0.0000 2.4163 0.0000
0.0000 0.0000 2.4163
2.4163 0.0000 0.0000
```

=====

No. 3
Computed, not measured: La4CoO8 after structural relaxation at the PBEsol level of DFT.

Uncorrected formation energy   -37.14 eV/f.u.
Calculated density   7.12 Mg/m³
Raw total energy   -8.327 eV/atom
Space-group type   No. 141

Cell and atoms, written as POSCAR:
```
La4CoO8
1.0
5.2384 0.0000 0.0000
0.0000 5.2384 0.0000
-2.6192 -2.6192 12.6287
La Co O
8 2 16
Cartesian
2.6192 0.0000 10.9648
0.0000 2.6192 1.7094
0.0000 0.0000 7.9783
2.6192 2.6192 4.6505
0.0000 0.0000 4.6050
2.6192 2.6192 8.0238
0.0000 2.6192 10.9193
2.6192 0.0000 1.6639
2.6192 0.0000 6.3144
2.6192 2.6192 0.0000
3.9030 1.2839 6.3144
1.3353 3.9030 0.0000
3.9030 -1.2839 6.3144
0.0000 2.6192 3.9694
2.6192 0.0000 8.3412
3.9030 3.9030 0.0000
1.3353 1.2839 6.3144
1.3353 1.3353 0.0000
2.6192 2.6192 10.2837
1.3353 -1.2839 6.3144
0.0000 0.0000 10.6019
3.9030 1.3353 0.0000
2.6192 2.6192 2.0269
0.0000 0.0000 2.3450
2.6192 0.0000 4.2875
0.0000 2.6192 8.6594
```

=====

No. 4
Computed, not measured: KYH8N4 after structural relaxation at the PBEsol level of DFT.

Calculated density   2.17 Mg/m³
Raw total energy   -5.498 eV/atom
Space-group type   No. 15

Cell and atoms, written as POSCAR:
```
KYH8N4
1.0
5.7925 0.0128 0.0000
-2.2785 6.1654 0.0000
-1.7570 -3.0891 8.2091
K Y H N
2 2 16 8
Cartesian
1.4481 0.0032 5.0132
0.3089 3.0859 3.1959
0.3089 3.0859 7.1114
1.4481 0.0032 1.0977
2.1939 0.8150 7.8480
-1.0464 0.8177 5.7614
-2.7114 1.7567 6.8388
0.7023 -0.8086 7.8480
3.3406 0.9557 3.2143
-0.4444 -0.9493 3.2143
-0.1849 -1.7631 6.8388
-2.1857 3.9004 2.4477
3.9427 -0.8113 5.7614
1.9419 4.8522 1.3702
2.2014 4.0384 4.9948
-1.5836 2.1334 4.9948
1.0547 3.8977 0.3611
4.4684 1.3324 1.3702
2.8034 2.2714 2.4477
-0.4369 2.2741 0.3611
-0.7613 1.7727 5.5022
2.2447 1.7631 7.4495
-1.9006 4.8555 2.7069
0.6515 -1.7567 7.4495
1.1055 4.8458 0.7595
3.6576 -1.7664 5.5022
-0.4877 1.3260 0.7595
2.5183 1.3164 2.7069
```

=====

No. 5
Computed, not measured: BaAgAsSe2 after structural relaxation at the PBEsol level of DFT.

Uncorrected formation energy   -2.13 eV/f.u.
Calculated density   6.02 Mg/m³
Raw total energy   -4.079 eV/atom
Space-group type   No. 123

Cell and atoms, written as POSCAR:
```
BaAgAsSe2
1.0
-1.1733 -1.5065 4.4767
4.3299 -2.8861 0.1636
2.6041 4.0222 2.0361
As Se Ba Ag
1 2 1 1
Cartesian
-0.5867 -0.7533 2.2383
1.3020 2.0111 1.0180
2.1650 -1.4431 0.0818
2.8803 -0.1852 3.3382
0.0000 0.0000 0.0000
```

=====

No. 6
Computed, not measured: Ca3GePd after structural relaxation at the PBEsol level of DFT.

Calculated density   3.28 Mg/m³
Raw total energy   -3.671 eV/atom
E_form   -0.21 eV per atom
Space-group type   No. 221

Cell and atoms, written as POSCAR:
```
Ca3GePd
1.0
-0.8723 -5.2038 -0.7733
2.3707 0.3110 -4.7667
4.6965 -1.1235 2.2625
Ge Ca Pd
1 3 1
Cartesian
3.0975 -3.0082 -1.6388
1.1853 0.1555 -2.3834
2.3483 -0.5617 1.1312
-0.4361 -2.6019 -0.3866
0.0000 0.0000 0.0000
```

=====

No. 7
Computed, not measured: Mg2SnO4 after structural relaxation at the PBEsol level of DFT.

Uncorrected formation energy   -15.90 eV/f.u.
Calculated density   4.90 Mg/m³
Raw total energy   -6.371 eV/atom
Space-group type   No. 55

Cell and atoms, written as POSCAR:
```
Mg2SnO4
1.0
-2.8804 -0.2350 -1.0646
1.4685 -3.8588 -3.1214
-2.0800 -6.5054 7.0637
Mg Sn O
4 2 8
Cartesian
-2.0090 -2.0771 1.4393
-2.3775 -7.0943 3.5438
-1.1144 -3.5049 -0.6660
-1.4829 -8.5221 1.4385
0.0000 0.0000 0.0000
-0.3058 -5.1821 1.9712
-1.3930 -6.1894 5.1351
-1.3122 -1.5061 -0.5721
-2.2396 -5.0546 2.7204
-0.2556 -3.1925 1.3964
-0.3559 -7.1717 2.5460
-1.2523 -5.5445 0.1573
-2.1797 -9.0931 3.4498
0.7814 -4.1748 -1.1928
```

=====

No. 8
Computed, not measured: TaCr2Os after structural relaxation at the PBEsol level of DFT.

Calculated density   14.31 Mg/m³
Raw total energy   -11.297 eV/atom
E_form   0.02 eV per atom
Space-group type   No. 47

Cell and atoms, written as POSCAR:
```
TaCr2Os
1.0
3.0236 0.0000 0.0000
0.0000 4.2484 0.0000
0.0000 0.0000 4.2911
Cr Os Ta
2 1 1
Cartesian
0.0000 0.0000 0.0000
1.5118 0.0000 2.1456
1.5118 2.1242 0.0000
0.0000 2.1242 2.1456
```

=====

No. 9
Computed, not measured: NaSnMoAs2 after structural relaxation at the PBEsol level of DFT.

Calculated density   4.41 Mg/m³
Raw total energy   -4.364 eV/atom
E_form   1.16 eV per atom
Space-group type   No. 123

Cell and atoms, written as POSCAR:
```
NaSnMoAs2
1.0
5.1910 0.0000 0.0000
0.0000 5.3040 0.0000
0.0000 0.0000 5.3040
As Mo Sn Na
2 1 1 1
Cartesian
0.0000 0.0000 2.6520
0.0000 2.6520 0.0000
2.5955 0.0000 0.0000
0.0000 0.0000 0.0000
2.5955 2.6520 2.6520
```

=====

No. 10
Computed, not measured: NaPHS2 after structural relaxation at the PBEsol level of DFT.

Calculated density   2.74 Mg/m³
Raw total energy   -3.611 eV/atom
Space-group type   No. 123

Cell and atoms, written as POSCAR:
```
NaPHS2
1.0
3.0702 0.0000 0.0000
0.0000 4.8475 0.0000
0.0000 0.0000 4.8475
P S H Na
1 2 1 1
Cartesian
1.5351 0.0000 0.0000
0.0000 0.0000 2.4238
0.0000 2.4238 0.0000
0.0000 0.0000 0.0000
1.5351 2.4238 2.4238
```

=====

No. 11
Computed, not measured: Li3BrO after structural relaxation at the PBEsol level of DFT.

Uncorrected formation energy   -8.58 eV/f.u.
Calculated density   3.18 Mg/m³
Raw total energy   -4.319 eV/atom
Space-group type   No. 221

Cell and atoms, written as POSCAR:
```
Li3BrO
1.0
-3.2049 -1.8915 -1.2757
2.2533 -2.9688 -1.2591
-0.3573 -1.7564 3.5020
Br O Li
1 1 3
Cartesian
-0.6544 -3.3084 0.4836
0.0000 0.0000 0.0000
-1.6025 -0.9458 -0.6378
1.1267 -1.4844 -0.6296
-0.1786 -0.8782 1.7510
```

=====

No. 12
Computed, not measured: CdFe3 after structural relaxation at the PBEsol level of DFT.

Calculated density   9.64 Mg/m³
Raw total energy   -6.616 eV/atom
E_form   0.41 eV per atom
Space-group type   No. 187

Cell and atoms, written as POSCAR:
```
CdFe3
1.0
-0.3097 2.5246 -0.4786
-1.3966 -1.7453 -1.3046
-5.9173 0.3789 5.8280
Cd Fe
1 3
Cartesian
0.0000 0.0000 0.0000
-2.9586 0.1894 2.9140
-4.9060 1.3724 3.4161
-2.3553 1.2091 0.9040
```

=====

No. 13
Computed, not measured: Li2CrFeO4 after structural relaxation at the PBEsol level of DFT.

Uncorrected formation energy   -14.49 eV/f.u.
Calculated density   4.69 Mg/m³
Raw total energy   -7.328 eV/atom
Space-group type   No. 2

Cell and atoms, written as POSCAR:
```
Li2CrFeO4
1.0
5.0068 0.0270 0.0184
-1.6374 5.4340 -0.0005
-0.8225 -1.7278 7.2367
Li Cr Fe O
6 3 3 12
Cartesian
0.8759 1.7398 6.0563
1.6709 1.9934 1.1982
1.6938 0.5230 3.5983
1.6723 -0.9784 6.0240
0.8745 4.7116 1.2306
0.8530 3.2102 3.6562
-0.8227 -0.2314 4.8236
0.0000 0.0000 0.0000
3.3695 3.9646 2.4309
-0.8187 2.7170 -0.0003
-0.8303 1.2735 2.4179
3.3771 2.4597 4.8366
2.6283 2.2638 3.0630
3.4523 1.0654 0.6487
-0.0815 1.4694 4.1915
2.6210 0.7931 5.4739
-0.0805 -0.0152 6.6259
3.4458 -0.4156 3.0371
0.7198 0.2453 1.8067
2.6273 3.7484 0.6287
-0.9055 2.6678 6.6059
1.8270 3.4879 5.4478
-0.8990 4.1488 4.2175
-0.0742 2.9401 1.7807
```

=====

No. 14
Computed, not measured: AlSe3 after structural relaxation at the PBEsol level of DFT.

Uncorrected formation energy   -0.72 eV/f.u.
Calculated density   5.14 Mg/m³
Raw total energy   -4.091 eV/atom
Space-group type   No. 44

Cell and atoms, written as POSCAR:
```
AlSe3
1.0
-2.3177 -2.5174 1.1215
3.4841 -3.2650 -0.1289
0.5654 3.9311 4.2113
Al Se
1 3
Cartesian
3.3874 -3.1744 -0.1253
0.8773 -3.1668 0.4855
2.9892 -1.3915 3.0539
-0.2934 -1.3633 2.1145
```

=====

No. 15
Computed, not measured: Ta2FeRu after structural relaxation at the PBEsol level of DFT.

Calculated density   14.47 Mg/m³
Raw total energy   -11.096 eV/atom
E_form   -0.04 eV per atom
Space-group type   No. 10

Cell and atoms, written as POSCAR:
```
Ta2FeRu
1.0
-2.6521 0.3468 0.7753
-1.2418 -2.0642 -3.3247
1.2458 -4.5919 2.3857
Fe Ru Ta
1 1 2
Cartesian
-1.9470 -0.8587 -1.2747
0.0020 -3.3280 -0.4695
-1.0323 -3.2001 2.3724
-0.3740 -1.0451 0.7886
```

=====

No. 16
Computed, not measured: CsS after structural relaxation at the PBEsol level of DFT.

Uncorrected formation energy   -1.97 eV/f.u.
Calculated density   3.37 Mg/m³
Raw total energy   -3.646 eV/atom
Space-group type   No. 71

Cell and atoms, written as POSCAR:
```
CsS
1.0
-4.8005 -0.5414 -1.6954
-0.4404 -1.1271 -6.1236
-1.7528 -5.9267 -0.8748
Cs S
2 2
Cartesian
-5.1965 -5.8180 -6.6195
-1.7972 -1.7771 -2.0743
-1.5620 -5.2290 -1.6378
-0.6312 -1.8248 -5.3606
```

=====

No. 17
Computed, not measured: BeSb2Se after structural relaxation at the PBEsol level of DFT.

Uncorrected formation energy   0.88 eV/f.u.
Calculated density   6.44 Mg/m³
Raw total energy   -4.022 eV/atom
Space-group type   No. 71

Cell and atoms, written as POSCAR:
```
BeSb2Se
1.0
3.4138 0.0000 0.0000
0.0000 4.3291 0.0000
-1.7069 -2.1646 5.7850
Sb Se Be
2 1 1
Cartesian
1.7069 2.1646 3.7529
0.0000 0.0000 2.0321
0.0000 2.1646 0.0000
1.7069 0.0000 0.0000
```

=====

No. 18
Computed, not measured: Zr2AlC after structural relaxation at the PBEsol level of DFT.

Calculated density   5.40 Mg/m³
Raw total energy   -8.681 eV/atom
E_form   -0.70 eV per atom
Space-group type   No. 194

Cell and atoms, written as POSCAR:
```
Zr2AlC
1.0
-0.5986 1.9570 -2.5783
-2.2249 -0.2730 2.4106
6.2028 11.0956 6.9815
C Al Zr
2 2 4
Cartesian
0.0000 0.0000 0.0000
3.1014 5.5478 3.4907
-0.1321 3.2442 2.4930
3.5114 9.5353 4.3208
3.9828 10.6048 7.1244
1.4235 5.8003 1.9707
-0.6034 2.1747 -0.3106
1.9559 6.9792 4.8431
```

=====

No. 19
Computed, not measured: CrAsAu2 after structural relaxation at the PBEsol level of DFT.

Calculated density   12.83 Mg/m³
Raw total energy   -5.610 eV/atom
E_form   0.19 eV per atom
Space-group type   No. 47

Cell and atoms, written as POSCAR:
```
CrAsAu2
1.0
-1.7506 2.5817 -1.3730
-2.8162 -0.7085 2.2585
2.0841 3.3549 3.6510
As Au Cr
1 2 1
Cartesian
-1.2414 2.6141 2.2682
1.5730 2.5321 2.7556
0.5111 0.8228 0.8954
-2.2834 0.9366 0.4427
```

=====

No. 20
Computed, not measured: SrMnAg2As after structural relaxation at the PBEsol level of DFT.

Calculated density   5.23 Mg/m³
Raw total energy   -4.141 eV/atom
E_form   0.52 eV per atom
Space-group type   No. 123

Cell and atoms, written as POSCAR:
```
SrMnAg2As
1.0
-0.9257 -1.1344 -4.6393
-1.9219 -4.2377 1.4197
-5.2221 2.5116 0.4279
Sr As Mn Ag
1 1 1 2
Cartesian
-2.6110 1.2558 0.2139
0.0000 0.0000 0.0000
-4.0348 -1.4302 -1.3959
-0.9609 -2.1188 0.7098
-0.4629 -0.5672 -2.3197
```